1.
# Pr4Ge2O (PBE, relaxed)
data_Pr4Ge2O
_chemical_formula_sum 'Pr8 Ge4 O2'
_symmetry_space_group_name_H-M 'P 1'
_symmetry_Int_Tables_number 1
_symmetry_space_group_name_Hall 'P 1'
_cell_length_a 6.912
_cell_length_b 6.919
_cell_length_c 8.577
_cell_angle_alpha 90.00
_cell_angle_beta 108.09
_cell_angle_gamma 90.00
loop_
_atom_site_label
_atom_site_fract_x
_atom_site_fract_y
_atom_site_fract_z
_atom_site_occupancy
Pr1 0.919 0.250 0.089 1
Pr2 0.497 0.499 0.259 1
Pr3 0.503 0.999 0.741 1
Pr4 0.060 0.750 0.371 1
Pr5 0.940 0.250 0.629 1
Pr6 0.497 0.001 0.259 1
Pr7 0.081 0.750 0.911 1
Pr8 0.503 0.501 0.741 1
Ge1 0.720 0.750 0.051 1
Ge2 0.280 0.250 0.949 1
Ge3 0.251 0.250 0.436 1
Ge4 0.749 0.750 0.564 1
O1 0.733 0.250 0.808 1
O2 0.267 0.750 0.192 1
# space-group type: P2_1/m, No. 11
# formation energy from raw total energies: -1.23 eV per atom
# VASP energy: -83.78 eV per cell

---

2.
# Sr2IrOsPb (PBE, relaxed)
data_Sr2IrOsPb
_chemical_formula_sum 'Sr2 Ir1 Os1 Pb1'
_symmetry_space_group_name_H-M 'P 1'
_symmetry_Int_Tables_number 1
_symmetry_space_group_name_Hall 'P 1'
_cell_length_a 5.684
_cell_length_b 5.120
_cell_length_c 5.684
_cell_angle_alpha 90.00
_cell_angle_beta 90.00
_cell_angle_gamma 90.00
loop_
_atom_site_label
_atom_site_fract_x
_atom_site_fract_y
_atom_site_fract_z
_atom_site_occupancy
Sr1 0.000 0.000 0.500 1
Sr2 0.500 0.000 0.000 1
Pb1 0.000 0.500 0.000 1
Ir1 0.000 0.000 0.000 1
Os1 0.500 0.500 0.500 1
# space-group type: P4/mmm, No. 123
# VASP energy: -22.80 eV per cell
# E_form: 872 meV/atom

---

3.
# MgScNb (PBE, relaxed)
data_MgScNb
_chemical_formula_sum 'Mg2 Sc2 Nb2'
_symmetry_space_group_name_H-M 'P 1'
_symmetry_Int_Tables_number 1
_symmetry_space_group_name_Hall 'P 1'
_cell_length_a 5.014
_cell_length_b 5.369
_cell_length_c 6.026
_cell_angle_alpha 78.80
_cell_angle_beta 65.42
_cell_angle_gamma 62.16
loop_
_atom_site_label
_atom_site_fract_x
_atom_site_fract_y
_atom_site_fract_z
_atom_site_occupancy
Sc1 0.627 0.000 0.745 1
Sc2 0.373 0.000 0.255 1
Nb1 0.807 0.386 0.000 1
Nb2 0.193 0.614 0.000 1
Mg1 0.250 0.500 0.500 1
Mg2 0.750 0.500 0.500 1
# space-group type: Fmmm, No. 69
# VASP energy: -33.69 eV per cell
# E_form: 383 meV/atom

---

4.
# Li2BeMo (PBE, relaxed)
data_Li2BeMo
_chemical_formula_sum 'Li2 Be1 Mo1'
_symmetry_space_group_name_H-M 'P 1'
_symmetry_Int_Tables_number 1
_symmetry_space_group_name_Hall 'P 1'
_cell_length_a 4.115
_cell_length_b 4.115
_cell_length_c 4.115
_cell_angle_alpha 119.92
_cell_angle_beta 119.92
_cell_angle_gamma 90.14
loop_
_atom_site_label
_atom_site_fract_x
_atom_site_fract_y
_atom_site_fract_z
_atom_site_occupancy
Mo1 0.500 0.500 0.000 1
Li1 0.000 0.000 0.000 1
Li2 0.250 0.750 0.500 1
Be1 0.750 0.250 0.500 1
# space-group type: I-4m2, No. 119
# VASP energy: -16.17 eV per cell
# E_form: 553 meV/atom